This record from the Alexandria database describes Ac8GaRu2 after structural relaxation. The functional is PBE.

The structure in POSCAR format:
```
Ac8GaRu2
1.0
6.586 -4.503 0.000
6.586 4.503 0.000
-0.233 0.000 7.021
Ac Ga Ru
8 1 2
direct
0.079 0.640 0.323
0.123 0.123 0.190
0.360 0.921 0.677
0.373 0.373 0.879
0.627 0.627 0.121
0.640 0.079 0.323
0.877 0.877 0.810
0.921 0.360 0.677
0.500 0.500 0.500
0.297 0.297 0.485
0.703 0.703 0.515
```

Computed properties:
Formation energy from the elements = -0.138 eV/atom
Symmetry = C2/m (12)
Size of the total moment = 0.0 Bohr magnetons per cell

This record from the Alexandria database describes Pm2ErAg2 after structural relaxation. The functional is PBE.

The structure in POSCAR format:
```
Pm2ErAg2
1.0
3.690 0.000 0.000
0.000 5.293 0.000
-1.845 0.000 13.674
Pm Er Ag
4 2 4
direct
0.046 0.250 0.094
0.235 0.250 0.468
0.765 0.750 0.532
0.954 0.750 0.906
0.145 0.750 0.290
0.855 0.250 0.710
0.359 0.750 0.718
0.449 0.250 0.896
0.551 0.750 0.104
0.641 0.250 0.282
```

Computed properties:
Formation energy from the elements = -0.202 eV/atom
Polymorph energy (0 for the lowest one) = 0.0 meV/atom
Symmetry = P2_1/m (11)
Size of the total moment = 0.0 Bohr magnetons per cell

This record from the Alexandria database describes Tb2NdSm3Tm6 after structural relaxation. The functional is PBE.

The structure in POSCAR format:
```
Tb2NdSm3Tm6
1.0
3.081 -5.333 0.000
3.081 5.333 0.000
-2.046 0.000 11.501
Tb Nd Sm Tm
2 1 3 6
direct
0.167 0.833 0.000
0.833 0.167 0.000
0.500 0.500 0.000
0.000 0.000 0.500
0.333 0.667 0.500
0.667 0.333 0.500
0.083 0.416 0.751
0.250 0.250 0.249
0.416 0.083 0.751
0.584 0.917 0.249
0.750 0.750 0.751
0.917 0.584 0.249
```

Computed properties:
Formation energy from the elements = 0.019 eV/atom
Symmetry = C2/m (12)
Size of the total moment = 0.0 Bohr magnetons per cell

This record from the Alexandria database describes Ru4PtBr after structural relaxation. The functional is PBE.

The structure in POSCAR format:
```
Ru4PtBr
1.0
0.000 3.659 3.659
3.659 0.000 3.659
3.659 3.659 0.000
Ru Pt Br
4 1 1
direct
0.125 0.125 0.125
0.125 0.125 0.625
0.125 0.625 0.125
0.625 0.125 0.125
0.500 0.500 0.500
0.750 0.750 0.750
```

Computed properties:
Symmetry = F-43m (216)
Formation energy from raw total energies = 1.03 eV per atom
Size of the total moment = 2.7 Bohr magnetons per cell

Which formula does entry 4 have?
Ru4PtBr